No. 1
A plane-wave DFT calculation with SCAN was carried out for a PBEsol-optimized structure of Tb5Te9. Values from VASP.

```
&SYSTEM
  ibrav = 0, nat = 56, ntyp = 2
/
ATOMIC_SPECIES
Te 127.60 Te.upf
Tb 158.93 Tb.upf
CELL_PARAMETERS angstrom
-6.127 4.687 -5.544
-7.116 -5.313 3.372
-2.687 11.829 12.968
ATOMIC_POSITIONS crystal
Te 0.395 0.699 0.434
Te 0.136 0.281 0.750
Te 0.500 0.000 0.069
Te 0.500 0.500 0.249
Te 0.000 0.500 0.447
Te 0.627 0.087 0.742
Te 0.899 0.202 0.063
Te 0.702 0.599 0.063
Te 0.500 0.500 0.751
Te 0.373 0.913 0.742
Te 0.201 0.097 0.435
Te 0.793 0.384 0.750
Te 0.599 0.298 0.937
Te 0.097 0.799 0.565
Te 0.207 0.616 0.750
Te 0.384 0.207 0.250
Te 0.699 0.605 0.566
Te 0.000 0.000 0.248
Te 0.903 0.201 0.565
Te 0.500 0.000 0.553
Te 0.301 0.395 0.566
Te 0.719 0.136 0.250
Te 0.000 0.500 0.931
Te 0.913 0.627 0.258
Te 0.864 0.719 0.750
Te 0.605 0.301 0.434
Te 0.401 0.702 0.937
Te 0.281 0.864 0.250
Te 0.202 0.101 0.937
Te 0.000 0.000 0.752
Te 0.799 0.903 0.435
Te 0.616 0.793 0.250
Te 0.798 0.899 0.937
Te 0.298 0.401 0.063
Te 0.087 0.373 0.258
Te 0.101 0.798 0.063
Tb 0.500 0.000 0.373
Tb 0.405 0.699 0.116
Tb 0.302 0.399 0.388
Tb 0.803 0.902 0.119
Tb 0.796 0.909 0.615
Tb 0.601 0.302 0.612
Tb 0.902 0.197 0.881
Tb 0.399 0.698 0.612
Tb 0.698 0.601 0.388
Tb 0.204 0.091 0.615
Tb 0.301 0.405 0.884
Tb 0.098 0.803 0.881
Tb 0.197 0.098 0.119
Tb 0.909 0.204 0.385
Tb 0.500 0.000 0.894
Tb 0.699 0.595 0.884
Tb 0.595 0.301 0.116
Tb 0.000 0.500 0.627
Tb 0.000 0.500 0.106
Tb 0.091 0.796 0.385
```

Values from the calculation:
Formation energy from raw total energies, eV/f.u.: -19.68
DOS(E_F), states/eV/f.u.: 0.41
Total moment, Bohr magnetons per cell: 0.0
Symmetry: P-4, No. 81
Density, g cm⁻³: 8.1



No. 2
A plane-wave DFT calculation with SCAN was carried out for a PBEsol-optimized structure of MgCo4Tc. Values from VASP.

```
&SYSTEM
  ibrav = 0, nat = 6, ntyp = 3
/
ATOMIC_SPECIES
Co 58.93 Co.upf
Tc 98.00 Tc.upf
Mg 24.30 Mg.upf
CELL_PARAMETERS angstrom
4.614 0.000 0.000
2.307 3.995 0.000
2.307 1.332 3.767
ATOMIC_POSITIONS crystal
Co 0.375 0.375 0.375
Co 0.375 0.874 0.375
Co 0.375 0.375 0.874
Co 0.874 0.375 0.375
Tc 0.000 0.000 0.000
Mg 0.750 0.750 0.750
```

Values from the calculation:
E_form, meV per atom: 143
DOS(E_F), states/eV/f.u.: 5.24
Total moment, Bohr magnetons per cell: 8.7
Symmetry: F-43m, No. 216
Density, g cm⁻³: 8.6



No. 3
A plane-wave DFT calculation with SCAN was carried out for a PBEsol-optimized structure of RbMn2Pb2. Values from VASP.

```
&SYSTEM
  ibrav = 0, nat = 5, ntyp = 3
/
ATOMIC_SPECIES
Rb 85.47 Rb.upf
Mn 54.94 Mn.upf
Pb 207.20 Pb.upf
CELL_PARAMETERS angstrom
-1.873 1.401 4.425
-4.299 -2.324 -1.084
5.030 -4.209 0.631
ATOMIC_POSITIONS crystal
Rb 0.000 0.000 0.000
Mn 0.629 0.629 0.257
Mn 0.371 0.371 0.743
Pb 0.750 0.250 0.500
Pb 0.250 0.750 0.500
```

Values from the calculation:
E_form, meV per atom: 118
DOS(E_F), states/eV/f.u.: 3.51
Total moment, Bohr magnetons per cell: 8.5
Symmetry: I4/mmm, No. 139
Density, g cm⁻³: 7.3



No. 4
A plane-wave DFT calculation with SCAN was carried out for a PBEsol-optimized structure of BaTaBeSn2. Values from VASP.

```
&SYSTEM
  ibrav = 0, nat = 5, ntyp = 4
/
ATOMIC_SPECIES
Sn 118.71 Sn.upf
Be 9.01 Be.upf
Ba 137.33 Ba.upf
Ta 180.95 Ta.upf
CELL_PARAMETERS angstrom
4.660 0.000 0.000
0.000 5.716 0.000
0.000 0.000 5.716
ATOMIC_POSITIONS crystal
Sn 0.000 0.000 0.500
Sn 0.000 0.500 0.000
Be 0.500 0.000 0.000
Ba 0.000 0.000 0.000
Ta 0.500 0.500 0.500
```

Values from the calculation:
E_form, meV per atom: 2357
DOS(E_F), states/eV/f.u.: 4.69
Total moment, Bohr magnetons per cell: 2.6
Symmetry: P4/mmm, No. 123
Density, g cm⁻³: 6.2



No. 5
A plane-wave DFT calculation with SCAN was carried out for a PBEsol-optimized structure of InCoAg2. Values from VASP.

```
&SYSTEM
  ibrav = 0, nat = 4, ntyp = 3
/
ATOMIC_SPECIES
Co 58.93 Co.upf
In 114.82 In.upf
Ag 107.87 Ag.upf
CELL_PARAMETERS angstrom
-2.698 -2.486 -1.333
-1.251 -0.599 3.649
-0.726 4.692 -1.567
ATOMIC_POSITIONS crystal
Co 0.500 0.500 0.000
In 0.000 0.000 0.000
Ag 0.250 0.750 0.500
Ag 0.750 0.250 0.500
```

Values from the calculation:
E_form, meV per atom: 283
DOS(E_F), states/eV/f.u.: 2.73
Total moment, Bohr magnetons per cell: 1.7
Symmetry: I4/mmm, No. 139
Density, g cm⁻³: 10.2



No. 6
A plane-wave DFT calculation with SCAN was carried out for a PBEsol-optimized structure of RbBrN3. Values from VASP.

```
&SYSTEM
  ibrav = 0, nat = 5, ntyp = 3
/
ATOMIC_SPECIES
N 14.01 N.upf
Rb 85.47 Rb.upf
Br 79.90 Br.upf
CELL_PARAMETERS angstrom
-2.413 0.518 3.401
-1.559 -3.868 -0.517
3.067 -1.559 2.413
ATOMIC_POSITIONS crystal
N 0.000 0.000 0.500
N 0.000 0.500 0.000
N 0.500 0.000 0.000
Rb 0.500 0.500 0.500
Br 0.000 0.000 0.000
```

Values from the calculation:
Formation energy from raw total energies, eV/f.u.: 10.99
DOS(E_F), states/eV/f.u.: 2.16
Total moment, Bohr magnetons per cell: 3.3
Symmetry: Pm-3m, No. 221
Density, g cm⁻³: 4.6